Entry 1:
Entry from the Alexandria database: an optimized crystal structure of MgCd5Hg3 (GGA-PBE).

Energy of formation from the pure elements (eV per atom): 0.082

Geometry as CIF:
```
data_MgCd5Hg3
_chemical_formula_sum 'Mg4 Cd20 Hg12'
_cell_length_a 13.1290
_cell_length_b 8.2095
_cell_length_c 10.5854
_cell_angle_alpha 90.00
_cell_angle_beta 121.16
_cell_angle_gamma 90.00
_space_group_name_H-M_alt 'C 1 2/m 1'
_space_group_IT_number 12
loop_
_space_group_symop_operation_xyz
'x,y,z'
'-x,-y,-z'
'-x,y,-z'
'x,-y,z'
'x+1/2,y+1/2,z'
'-x+1/2,-y+1/2,-z'
'-x+1/2,y+1/2,-z'
'x+1/2,-y+1/2,z'
loop_
_atom_site_label
_atom_site_type_symbol
_atom_site_fract_x
_atom_site_fract_y
_atom_site_fract_z
Mg1 Mg 0.0808 0.0000 0.3053
Cd1 Cd 0.0000 0.3277 0.5000
Cd2 Cd 0.0653 0.5000 0.8559
Cd3 Cd 0.1419 0.3071 0.1522
Cd4 Cd 0.1877 0.5000 0.4212
Hg1 Hg 0.0000 0.0000 0.0000
Hg2 Hg 0.0000 0.0000 0.5000
Hg3 Hg 0.1727 0.0000 0.8774
Hg4 Hg 0.2186 0.5000 0.7363
```

---

Entry 2:
Entry from the Alexandria database: an optimized crystal structure of LiCuS (GGA-PBE).

Electronic total energy (eV per atom): -4.10

Geometry as CIF:
```
data_LiCuS
_chemical_formula_sum 'Li4 Cu4 S4'
_cell_length_a 8.3683
_cell_length_b 4.9438
_cell_length_c 5.1134
_cell_angle_alpha 90.00
_cell_angle_beta 90.00
_cell_angle_gamma 90.00
_space_group_name_H-M_alt 'P n m a'
_space_group_IT_number 62
loop_
_space_group_symop_operation_xyz
'x,y,z'
'-x,-y,-z'
'-x+1/2,-y,z+1/2'
'x+1/2,y,-z+1/2'
'x+1/2,-y+1/2,-z+1/2'
'-x+1/2,y+1/2,z+1/2'
'-x,y+1/2,-z'
'x,-y+1/2,z'
loop_
_atom_site_label
_atom_site_type_symbol
_atom_site_fract_x
_atom_site_fract_y
_atom_site_fract_z
Li1 Li 0.1327 0.2500 0.0153
Cu1 Cu 0.0000 0.0000 0.5000
S1 S 0.1307 0.7500 0.2215
```

---

Entry 3:
Entry from the Alexandria database: an optimized crystal structure of BaRe2Au (GGA-PBE).

Energy of formation from the pure elements (eV per atom): 0.406

Geometry as CIF:
```
data_BaRe2Au
_chemical_formula_sum 'Ba1 Re2 Au1'
_cell_length_a 3.2006
_cell_length_b 3.2006
_cell_length_c 8.3450
_cell_angle_alpha 90.00
_cell_angle_beta 90.00
_cell_angle_gamma 90.00
_space_group_name_H-M_alt 'P 4 m m'
_space_group_IT_number 99
loop_
_space_group_symop_operation_xyz
'x,y,z'
'-y,x,z'
'-x,-y,z'
'y,-x,z'
'-x,y,z'
'y,x,z'
'x,-y,z'
'-y,-x,z'
loop_
_atom_site_label
_atom_site_type_symbol
_atom_site_fract_x
_atom_site_fract_y
_atom_site_fract_z
Ba1 Ba 0.0000 0.0000 0.0000
Re1 Re 0.0000 0.0000 0.4668
Re2 Re 0.5000 0.5000 0.3203
Au1 Au 0.5000 0.5000 0.6942
```

---

Entry 4:
Entry from the Alexandria database: an optimized crystal structure of Pm2CdGe2 (GGA-PBE).

Energy of formation from the pure elements (eV per atom): -0.741

Geometry as CIF:
```
data_Pm2CdGe2
_chemical_formula_sum 'Pm4 Cd2 Ge4'
_cell_length_a 7.4803
_cell_length_b 7.4803
_cell_length_c 4.3089
_cell_angle_alpha 90.00
_cell_angle_beta 90.00
_cell_angle_gamma 90.00
_space_group_name_H-M_alt 'P 4/m b m'
_space_group_IT_number 127
_space_group_name_Hall '-P 4 2ab'
loop_
_atom_site_label
_atom_site_type_symbol
_atom_site_fract_x
_atom_site_fract_y
_atom_site_fract_z
Pm1 Pm 0.1791 0.3209 0.0000
Cd1 Cd 0.0000 0.0000 0.5000
Ge1 Ge 0.1202 0.6202 0.5000
```